No. 1
Entry from Alexandria via LeMat-Bulk: GaHgHPb2 after structural relaxation (PBE-GGA).

Computed properties:
Its space-group type is P4/mmm (123). As for the total energy: -13.14 eV for the cell shown.

POSCAR file:
```
GaHgHPb2
1.0
5.8658 0.0000 0.0000
0.0000 5.8658 0.0000
0.0000 0.0000 3.4047
Ga Hg H Pb
1 1 1 2
Cartesian
0.0000 0.0000 0.0000 Ga
2.9329 2.9329 1.7023 Hg
0.0000 0.0000 1.7023 H
0.0000 2.9329 0.0000 Pb
2.9329 0.0000 0.0000 Pb
```

---

No. 2
Entry from Alexandria via LeMat-Bulk: PaSbSe4 after structural relaxation (PBE-GGA).

Computed properties:
The calculation puts the formation energy without anion corrections at -0.722 eV/atom. The offset from the most stable computed form is 0.166 eV/atom. Its space-group type is P2_1/c (14).

POSCAR file:
```
PaSbSe4
1.0
7.0077 0.0000 0.0000
0.0000 6.9534 0.0000
-0.0806 0.0000 6.9113
Pa Sb Se
2 2 8
Cartesian
0.0000 0.0000 0.0000 Pa
-0.0403 3.4767 3.4556 Pa
3.4636 0.0000 3.4556 Sb
3.5039 3.4767 0.0000 Sb
1.0467 1.1134 2.3755 Se
1.0064 2.3633 5.8312 Se
2.3208 4.5170 2.4213 Se
2.2805 5.9130 5.8770 Se
4.6466 1.0403 1.0343 Se
4.6063 2.4364 4.4899 Se
5.9207 4.5900 1.0801 Se
5.8804 5.8400 4.5358 Se
```

---

No. 3
Entry from Alexandria via LeMat-Bulk: SrNi2Mo after structural relaxation (PBE-GGA).

Computed properties:
The offset from the most stable computed form is 0.689 eV/atom. Its space-group type is I-4m2 (119).

POSCAR file:
```
SrNi2Mo
1.0
-1.9334 1.9334 4.6449
1.9334 -1.9334 4.6449
1.9334 1.9334 -4.6449
Sr Ni Mo
1 2 1
Cartesian
0.0000 0.0000 0.0000 Sr
1.9334 0.0000 2.3225 Ni
0.0000 0.0000 4.6449 Ni
0.0000 1.9334 2.3225 Mo
```

---

No. 4
Entry from Alexandria via LeMat-Bulk: TlAg2Rh2 after structural relaxation (PBE-GGA).

Computed properties:
The offset from the most stable computed form is 0.164 eV/atom. Its space-group type is P4/mbm (127).

POSCAR file:
```
TlAg2Rh2
1.0
7.8527 0.0000 0.0000
0.0000 7.8527 0.0000
0.0000 0.0000 2.9543
Tl Ag Rh
2 4 4
Cartesian
0.0000 0.0000 0.0000 Tl
3.9264 3.9264 0.0000 Tl
0.9978 2.9286 0.0000 Ag
2.9286 6.8550 0.0000 Ag
4.9241 0.9978 0.0000 Ag
6.8550 4.9241 0.0000 Ag
1.3313 5.2576 1.4772 Rh
2.5951 1.3313 1.4772 Rh
5.2576 6.5214 1.4772 Rh
6.5214 2.5951 1.4772 Rh
```